[1]
{
  "formula": "NbBi2",
  "functional": "GGA-PBE",
  "state": "relaxed",
  "cell": [[-3.4454, 0.0000, 0.0000], [0.0000, -3.4454, 0.0000], [1.7227, 1.7227, 6.6551]],
  "species": ["Bi", "Bi", "Nb"],
  "frac_coords": [[0.6374, 0.6374, 0.2748], [0.3626, 0.3626, 0.7252], [0.0000, 0.0000, 0.0000]],
  "final_energy_ev_per_atom": -5.844,
  "spacegroup": "No. 139"
}

[2]
{
  "formula": "NbBi2",
  "functional": "GGA-PBE",
  "state": "relaxed",
  "cell": [[1.4156, -2.8441, 5.3276], [-4.3476, -3.1948, 3.0607], [0.2865, -6.1920, 0.2292]],
  "species": ["Bi", "Bi", "Bi", "Bi", "Nb", "Nb"],
  "frac_coords": [[0.6250, 0.6250, 0.1250], [0.6250, 0.1250, 0.6250], [0.1250, 0.6250, 0.6250], [0.6250, 0.6250, 0.6250], [0.0000, 0.0000, 0.0000], [0.2500, 0.2500, 0.2500]],
  "final_energy_ev_per_atom": -4.876,
  "spacegroup": "No. 227"
}

[3]
{
  "formula": "NbBi",
  "functional": "GGA-PBE",
  "state": "relaxed",
  "cell": [[5.6192, 0.0000, 0.0000], [0.0000, 4.6124, 0.0000], [0.0000, 0.0000, 7.9130]],
  "species": ["Bi", "Bi", "Bi", "Bi", "Nb", "Nb", "Nb", "Nb"],
  "frac_coords": [[0.7500, 0.5000, 0.1444], [0.2500, 0.0000, 0.2473], [0.7500, 0.0000, 0.7527], [0.2500, 0.5000, 0.8556], [0.7500, 0.0000, 0.3854], [0.0000, 0.5000, 0.5000], [0.5000, 0.5000, 0.5000], [0.2500, 0.0000, 0.6146]],
  "final_energy_ev_per_atom": -7.004,
  "spacegroup": "No. 51"
}

[4]
{
  "formula": "NbBi",
  "functional": "GGA-PBE",
  "state": "relaxed",
  "cell": [[0.0000, 3.2679, 3.2679], [3.2679, 0.0000, 3.2679], [3.2679, 3.2679, 0.0000]],
  "species": ["Bi", "Nb"],
  "frac_coords": [[0.0000, 0.0000, 0.0000], [0.2500, 0.2500, 0.2500]],
  "final_energy_ev_per_atom": -5.898,
  "spacegroup": "No. 216"
}

[5]
{
  "formula": "Nb2NiBi",
  "functional": "GGA-PBE",
  "state": "relaxed",
  "cell": [[0.0000, 3.3165, 3.3165], [3.3165, 0.0000, 3.3165], [3.3165, 3.3165, 0.0000]],
  "species": ["Bi", "Nb", "Nb", "Ni"],
  "frac_coords": [[0.5000, 0.5000, 0.5000], [0.0000, 0.0000, 0.0000], [0.7500, 0.7500, 0.7500], [0.2500, 0.2500, 0.2500]],
  "final_energy_ev_per_atom": -7.029,
  "spacegroup": "No. 216"
}

[6]
{
  "formula": "NbNiBiOs",
  "functional": "GGA-PBE",
  "state": "relaxed",
  "cell": [[4.0395, 1.1740, 1.8084], [0.6902, 4.2786, 1.4776], [0.3406, 0.8456, 4.4872]],
  "species": ["Bi", "Nb", "Ni", "Os"],
  "frac_coords": [[0.0000, 0.0000, 0.0000], [0.2500, 0.2500, 0.2500], [0.7500, 0.7500, 0.7500], [0.5000, 0.5000, 0.5000]],
  "final_energy_ev_per_atom": -7.234,
  "spacegroup": "No. 216"
}

[7]
{
  "formula": "NbNiBiPt",
  "functional": "GGA-PBE",
  "state": "relaxed",
  "cell": [[0.8442, 3.3262, 3.1144], [-3.3882, 1.4648, 2.8019], [0.1199, -1.0311, 4.5165]],
  "species": ["Bi", "Nb", "Ni", "Pt"],
  "frac_coords": [[0.0000, 0.0000, 0.0000], [0.2500, 0.2500, 0.2500], [0.7500, 0.7500, 0.7500], [0.5000, 0.5000, 0.5000]],
  "final_energy_ev_per_atom": -6.369,
  "spacegroup": "No. 216"
}

[8]
{
  "formula": "NbNiBiPt",
  "functional": "GGA-PBE",
  "state": "relaxed",
  "cell": [[-0.5592, -4.3666, 1.4719], [-2.0300, -0.8281, 4.0914], [-4.2442, -1.8738, 0.1481]],
  "species": ["Bi", "Nb", "Ni", "Pt"],
  "frac_coords": [[0.0000, 0.0000, 0.0000], [0.5000, 0.5000, 0.5000], [0.7500, 0.7500, 0.7500], [0.2500, 0.2500, 0.2500]],
  "final_energy_ev_per_atom": -6.309,
  "spacegroup": "No. 216"
}

[9]
{
  "formula": "ScNbNiBi",
  "functional": "GGA-PBE",
  "state": "relaxed",
  "cell": [[0.5693, -3.3232, 3.3530], [-2.6048, -3.9761, -0.1268], [2.0484, -4.1505, -1.0897]],
  "species": ["Bi", "Nb", "Ni", "Sc"],
  "frac_coords": [[0.0000, 0.0000, 0.0000], [0.2500, 0.2500, 0.2500], [0.7500, 0.7500, 0.7500], [0.5000, 0.5000, 0.5000]],
  "final_energy_ev_per_atom": -6.253,
  "spacegroup": "No. 216"
}

[10]
{
  "formula": "NbNiBiW",
  "functional": "GGA-PBE",
  "state": "relaxed",
  "cell": [[0.0000, 3.2726, 3.2726], [3.2726, 0.0000, 3.2726], [3.2726, 3.2726, 0.0000]],
  "species": ["Bi", "Nb", "Ni", "W"],
  "frac_coords": [[0.0000, 0.0000, 0.0000], [0.2500, 0.2500, 0.2500], [0.7500, 0.7500, 0.7500], [0.5000, 0.5000, 0.5000]],
  "final_energy_ev_per_atom": -7.502,
  "spacegroup": "No. 216"
}

[11]
{
  "formula": "NpNbBi",
  "functional": "GGA-PBE",
  "state": "relaxed",
  "cell": [[0.0000, 3.4060, 3.4060], [3.4060, 0.0000, 3.4060], [3.4060, 3.4060, 0.0000]],
  "species": ["Bi", "Nb", "Np"],
  "frac_coords": [[0.0000, 0.0000, 0.0000], [0.2500, 0.2500, 0.2500], [0.5000, 0.5000, 0.5000]],
  "final_energy_ev_per_atom": -8.336,
  "spacegroup": "No. 216"
}

[12]
{
  "formula": "NbBiO4",
  "functional": "GGA-PBE",
  "state": "relaxed",
  "cell": [[-3.9162, 0.9032, 6.4753], [-3.3913, -4.0464, -1.5740], [3.7390, -5.0223, 4.8236]],
  "species": ["Bi", "Bi", "Bi", "Bi", "Nb", "Nb", "Nb", "Nb", "O", "O", "O", "O", "O", "O", "O", "O", "O", "O", "O", "O", "O", "O", "O", "O"],
  "frac_coords": [[0.1667, 0.7167, 0.1219], [0.8696, 0.2359, 0.3816], [0.1304, 0.7641, 0.6184], [0.8333, 0.2833, 0.8781], [0.6753, 0.7478, 0.1772], [0.3466, 0.2240, 0.3232], [0.6534, 0.7760, 0.6768], [0.3247, 0.2522, 0.8228], [0.3309, 0.3239, 0.0551], [0.8281, 0.0286, 0.1322], [0.8956, 0.5423, 0.1755], [0.4395, 0.9102, 0.2154], [0.5546, 0.4265, 0.2918], [0.1051, 0.9989, 0.3267], [0.1573, 0.4710, 0.3662], [0.6723, 0.8573, 0.4423], [0.3277, 0.1427, 0.5577], [0.8427, 0.5290, 0.6338], [0.8949, 0.0011, 0.6733], [0.4454, 0.5735, 0.7082], [0.5605, 0.0898, 0.7846], [0.1044, 0.4577, 0.8245], [0.1719, 0.9714, 0.8678], [0.6691, 0.6761, 0.9449]],
  "final_energy_ev_per_atom": -7.699,
  "spacegroup": "No. 2"
}